Entry A
DFT (PBE-GGA) results for a geometry-optimized LiZrAl3 structure.

Lattice parameters (Å, degrees): 5.2792 5.2792 5.2792 90.00 90.00 90.00
Last column: nearest neighbours and their distance in Å.
Fractional positions:
Al (0.0000, 0.0000, 0.5000)  2 Zr 2.64
Al (0.5000, 0.0000, 0.0000)  2 Zr 2.64
Al (0.0000, 0.5000, 0.0000)  2 Zr 2.64
Li (0.5000, 0.5000, 0.5000)  12 Al 3.73
Zr (0.0000, 0.0000, 0.0000)  6 Al 2.64

Calculated values
Crystal system = cubic
Total moment = 0.000 μB/atom
Space-group type = Pm-3m, No. 221
DOS(E_F) = 3.8 states/eV/f.u.

***

Entry B
DFT (PBE-GGA) results for a geometry-optimized LiZrAl3 structure.

Lattice parameters (Å, degrees): 4.4101 4.4101 4.4101 90.00 90.00 90.00
Last column: nearest neighbours and their distance in Å.
Fractional positions:
Al (0.0000, 0.0000, 0.5000)  2 Li 2.21
Al (0.0000, 0.5000, 0.0000)  2 Li 2.21
Al (0.5000, 0.0000, 0.0000)  2 Li 2.21
Zr (0.5000, 0.5000, 0.5000)  12 Al 3.12
Li (0.0000, 0.0000, 0.0000)  6 Al 2.21

Calculated values
Crystal system = cubic
Total moment = 0.000 μB/atom
Space-group type = Pm-3m, No. 221
DOS(E_F) = 3.0 states/eV/f.u.

***

Most stable = entry B

***

Entry A
DFT (PBE-GGA) results for a geometry-optimized Lu2MgAl structure.

Lattice parameters (Å, degrees): 3.4492 3.4492 10.1050 80.17 80.17 60.00
Last column: nearest neighbours and their distance in Å.
Fractional positions:
Al (0.0000, 0.0000, 0.0000)  6 Lu 3.02
Lu (0.2569, 0.2569, 0.2293)  3 Al 3.02, 3 Mg 3.34
Lu (0.7431, 0.7431, 0.7707)  3 Al 3.02, 3 Mg 3.34
Mg (0.5000, 0.5000, 0.5000)  6 Lu 3.34, 6 Mg 3.45

Calculated values
Crystal system = trigonal
Total moment = 0.000 μB/atom
Space-group type = R-3m, No. 166
DOS(E_F) = 3.3 states/eV/f.u.

***

Entry B
DFT (PBE-GGA) results for a geometry-optimized Lu2MgAl structure.

Lattice parameters (Å, degrees): 3.5972 3.5972 7.3520 90.00 90.00 90.00
Last column: nearest neighbours and their distance in Å.
Fractional positions:
Al (0.5000, 0.5000, 0.0000)  8 Lu 3.08
Lu (0.0000, 0.0000, 0.7648)  4 Al 3.08, 4 Mg 3.20
Lu (0.0000, 0.0000, 0.2352)  4 Al 3.08, 4 Mg 3.20
Mg (0.5000, 0.5000, 0.5000)  8 Lu 3.20

Calculated values
Crystal system = tetragonal
Total moment = 0.000 μB/atom
Space-group type = P4/mmm, No. 123
DOS(E_F) = 2.0 states/eV/f.u.

***

Most stable = entry B

***

Entry A
DFT (PBE-GGA) results for a geometry-optimized LuMg2Al structure.

Lattice parameters (Å, degrees): 4.7345 4.3260 4.3260 90.00 90.00 90.00
Last column: nearest neighbours and their distance in Å.
Fractional positions:
Lu (0.5000, 0.5000, 0.5000)  4 Al 3.06, 8 Mg 3.21
Mg (0.0000, 0.5000, 0.0000)  4 Mg 3.06, 4 Al 3.21, 4 Lu 3.21
Mg (0.0000, 0.0000, 0.5000)  4 Mg 3.06, 4 Lu 3.21, 4 Al 3.21
Al (0.5000, 0.0000, 0.0000)  4 Lu 3.06, 8 Mg 3.21

Calculated values
Crystal system = tetragonal
Total moment = 0.000 μB/atom
Space-group type = P4/mmm, No. 123
DOS(E_F) = 2.0 states/eV/f.u.

***

Entry B
DFT (PBE-GGA) results for a geometry-optimized LuMg2Al structure.

Lattice parameters (Å, degrees): 4.9766 4.9766 4.9773 60.00 60.00 60.00
Last column: nearest neighbours and their distance in Å.
Fractional positions:
Al (0.0000, 0.0000, 0.0000)  8 Mg 3.05
Mg (0.2501, 0.2501, 0.2498)  4 Al 3.05, 4 Lu 3.05
Mg (0.7499, 0.7499, 0.7502)  4 Al 3.05, 4 Lu 3.05
Lu (0.5000, 0.5000, 0.5000)  8 Mg 3.05

Calculated values
Crystal system = cubic
Total moment = 0.000 μB/atom
Space-group type = Fm-3m, No. 225
DOS(E_F) = 2.5 states/eV/f.u.

***

Most stable = entry A